# 1
La5Zr: optimized geometry, PBE-GGA.

It has space group F-43m (No. 216), with a = 9.328 Å, b = 9.328 Å, c = 9.328 Å, α = 90.00°, β = 90.00° and γ = 90.00°. The distinct sites, in fractional coordinates, are La at (0.000, 0.000, 0.000), La at (0.122, 0.122, 0.622) and Zr at (0.250, 0.250, 0.250).

As for the energy relative to the elements: 217 kJ/mol of formula units. For the energy above the most stable polymorph in this dataset, the calculation gives 282 meV per atom. The value obtained for the total magnetic moment is 1.32 μB/f.u.

---

# 2
La4Zr5: optimized geometry, PBE-GGA.

It has space group P6_3/mcm (No. 193), with a = 9.3501 Å, b = 9.3501 Å, c = 6.6847 Å, α = 90.00°, β = 90.00° and γ = 120.00°. The distinct sites, in fractional coordinates, are La at (0.0000, 0.0000, 0.0000), La at (0.0000, 0.3372, 0.2500), Zr at (0.0000, 0.3472, 0.7500) and Zr at (0.3333, 0.6667, 0.0000).

As for the energy relative to the elements: 219 kJ/mol of formula units. The value obtained for the total magnetic moment is 0.00 μB/f.u.

---

# 3
LaZr: optimized geometry, PBE-GGA.

It has space group F-43m (No. 216), with a = 6.381 Å, b = 6.381 Å, c = 6.381 Å, α = 90.00°, β = 90.00° and γ = 90.00°. The distinct sites, in fractional coordinates, are La at (0.000, 0.000, 0.000) and Zr at (0.250, 0.250, 0.250).

As for the energy relative to the elements: 348 kJ/mol of formula units. For the energy above the most stable polymorph in this dataset, the calculation gives 1687 meV per atom. The value obtained for the total magnetic moment is 0.00 μB/f.u.

---

Copy entry 1 word for word.
La5Zr: optimized geometry, PBE-GGA.

It has space group F-43m (No. 216), with a = 9.328 Å, b = 9.328 Å, c = 9.328 Å, α = 90.00°, β = 90.00° and γ = 90.00°. The distinct sites, in fractional coordinates, are La at (0.000, 0.000, 0.000), La at (0.122, 0.122, 0.622) and Zr at (0.250, 0.250, 0.250).

As for the energy relative to the elements: 217 kJ/mol of formula units. For the energy above the most stable polymorph in this dataset, the calculation gives 282 meV per atom. The value obtained for the total magnetic moment is 1.32 μB/f.u.

---

Please write out number 1 again, unchanged.
La5Zr: optimized geometry, PBE-GGA.

It has space group F-43m (No. 216), with a = 9.328 Å, b = 9.328 Å, c = 9.328 Å, α = 90.00°, β = 90.00° and γ = 90.00°. The distinct sites, in fractional coordinates, are La at (0.000, 0.000, 0.000), La at (0.122, 0.122, 0.622) and Zr at (0.250, 0.250, 0.250).

As for the energy relative to the elements: 217 kJ/mol of formula units. For the energy above the most stable polymorph in this dataset, the calculation gives 282 meV per atom. The value obtained for the total magnetic moment is 1.32 μB/f.u.

---

Repeat the first record exactly.
La5Zr: optimized geometry, PBE-GGA.

It has space group F-43m (No. 216), with a = 9.328 Å, b = 9.328 Å, c = 9.328 Å, α = 90.00°, β = 90.00° and γ = 90.00°. The distinct sites, in fractional coordinates, are La at (0.000, 0.000, 0.000), La at (0.122, 0.122, 0.622) and Zr at (0.250, 0.250, 0.250).

As for the energy relative to the elements: 217 kJ/mol of formula units. For the energy above the most stable polymorph in this dataset, the calculation gives 282 meV per atom. The value obtained for the total magnetic moment is 1.32 μB/f.u.

---

Please write out number 2 again, unchanged.
La4Zr5: optimized geometry, PBE-GGA.

It has space group P6_3/mcm (No. 193), with a = 9.3501 Å, b = 9.3501 Å, c = 6.6847 Å, α = 90.00°, β = 90.00° and γ = 120.00°. The distinct sites, in fractional coordinates, are La at (0.0000, 0.0000, 0.0000), La at (0.0000, 0.3372, 0.2500), Zr at (0.0000, 0.3472, 0.7500) and Zr at (0.3333, 0.6667, 0.0000).

As for the energy relative to the elements: 219 kJ/mol of formula units. The value obtained for the total magnetic moment is 0.00 μB/f.u.